SbAs2Au, optimized geometry, DFT PBE; SG = Cmmm (65); formation energy without anion corrections = 129 kJ/mol of formula units
1.0
-0.979 -2.002 2.047
0.339 -1.631 -2.527
9.058 -1.920 2.455
Sb Au As
1 1 2
direct
0.500 0.500 0.750 Sb
0.500 0.500 0.250 Au
0.000 0.000 0.030 As
0.000 0.000 0.470 As

BaPRu2, optimized geometry, DFT PBE; SG = Imm2 (44); ΔE_f = 0.54 eV/atom
1.0
-1.552 2.763 4.870
1.552 -2.763 4.870
1.552 2.763 -4.870
Ba P Ru
1 1 2
direct
0.516 0.516 0.000 Ba
0.801 0.301 0.500 P
0.976 0.976 0.000 Ru
0.207 0.707 0.500 Ru

Ce2InRu, optimized geometry, DFT PBE; energy above the lowest structure with this stoichiometry = 384 meV per atom; SG = R-3m (166); ΔE_f = 0.02 eV/atom
1.0
3.857 0.000 0.000
1.928 3.340 0.000
1.928 1.113 9.927
In Ce Ru
1 2 1
direct
0.000 0.000 0.000 In
0.887 0.887 0.340 Ce
0.113 0.113 0.660 Ce
0.500 0.500 0.500 Ru

TlReSi, optimized geometry, DFT PBE; energy above the lowest structure with this stoichiometry = 84 meV per atom; SG = P3m1 (156); formation energy without anion corrections = 144 kJ/mol of formula units
1.0
-1.024 2.071 2.058
-1.946 -2.089 -1.192
1.466 -4.187 4.943
Si Re Tl
1 1 1
direct
0.667 0.333 0.288 Si
0.000 0.000 0.041 Re
0.333 0.667 0.671 Tl

Ce8Sn2C, optimized geometry, DFT PBE; SG = P4/mmm (123); ΔE_f = -0.23 eV/atom
1.0
-3.634 -2.638 1.008
-0.759 -0.669 -4.490
7.728 -10.547 0.265
Ce C Sn
8 1 2
direct
0.500 0.500 0.686 Ce
0.500 0.500 0.314 Ce
0.500 0.000 0.889 Ce
0.500 0.000 0.500 Ce
0.000 0.500 0.889 Ce
0.000 0.500 0.111 Ce
0.500 0.000 0.111 Ce
0.000 0.500 0.500 Ce
0.000 0.000 0.000 C
0.000 0.000 0.306 Sn
0.000 0.000 0.694 Sn

LaCoOsI2, optimized geometry, DFT PBE; SG = P4/mmm (123); formation energy without anion corrections = 379 kJ/mol of formula units
1.0
-1.844 -3.204 3.974
4.881 -1.837 0.783
0.909 3.952 3.608
I Co Os La
2 1 1 1
direct
0.500 0.000 0.000 I
0.000 0.000 0.500 I
0.500 0.500 0.500 Co
0.000 0.000 0.000 Os
0.000 0.500 0.000 La

Sc3VNi, optimized geometry, DFT PBE; energy above the lowest structure with this stoichiometry = 429 meV per atom; SG = Pm-3m (221); ΔE_f = 0.72 eV/atom
1.0
-4.129 -1.656 1.713
1.743 -4.436 -0.089
1.625 0.549 4.448
Sc Ni V
3 1 1
direct
0.000 0.000 0.500 Sc
0.500 0.000 0.000 Sc
0.000 0.500 0.000 Sc
0.500 0.500 0.500 Ni
0.000 0.000 0.000 V

PdCS3, optimized geometry, DFT PBE; energy above the lowest structure with this stoichiometry = 0 meV per atom; SG = Pm-3m (221); formation energy without anion corrections = 606 kJ/mol of formula units
1.0
4.111 0.000 0.000
0.000 4.111 0.000
0.000 0.000 4.111
Pd S C
1 3 1
direct
0.500 0.500 0.500 Pd
0.000 0.000 0.500 S
0.500 0.000 0.000 S
0.000 0.500 0.000 S
0.000 0.000 0.000 C

CdBPt3, optimized geometry, DFT PBE; energy above the lowest structure with this stoichiometry = 69 meV per atom; SG = R3c (161); ΔE_f = -0.28 eV/atom
1.0
-1.432 -3.180 4.486
2.082 2.131 4.838
-4.051 2.474 3.123
Pt Cd B
6 2 2
direct
0.691 0.278 0.781 Pt
0.781 0.691 0.278 Pt
0.278 0.781 0.691 Pt
0.281 0.778 0.191 Pt
0.191 0.281 0.778 Pt
0.778 0.191 0.281 Pt
0.760 0.760 0.760 Cd
0.260 0.260 0.260 Cd
0.472 0.472 0.472 B
0.972 0.972 0.972 B

Tb7Ho2Tm4, optimized geometry, DFT PBE; SG = P-31m (162); ΔE_f = 0.18 eV/atom
1.0
-5.061 -2.907 1.546
4.768 -3.105 -2.021
4.413 -1.180 12.225
Tb Ho Tm
7 2 4
direct
0.000 0.638 0.781 Tb
0.000 0.000 0.000 Tb
0.362 0.000 0.219 Tb
0.362 0.362 0.781 Tb
0.000 0.362 0.219 Tb
0.638 0.638 0.219 Tb
0.638 0.000 0.781 Tb
0.333 0.667 0.000 Ho
0.667 0.333 0.000 Ho
0.000 0.000 0.607 Tm
0.667 0.333 0.500 Tm
0.333 0.667 0.500 Tm
0.000 0.000 0.393 Tm

Co6NiIr3, optimized geometry, DFT PBE; SG = P2_1/m (11); ΔE_f = 0.30 eV/atom
1.0
3.783 0.000 0.000
0.000 7.434 -1.445
0.000 1.604 9.145
Co Ni Ir
12 2 6
direct
0.750 0.750 0.920 Co
0.250 0.413 0.547 Co
0.750 0.916 0.441 Co
0.250 0.084 0.559 Co
0.250 0.574 0.063 Co
0.750 0.079 0.206 Co
0.250 0.921 0.794 Co
0.750 0.454 0.686 Co
0.750 0.587 0.453 Co
0.250 0.250 0.080 Co
0.750 0.426 0.937 Co
0.250 0.546 0.314 Co
0.750 0.403 0.199 Ni
0.250 0.597 0.801 Ni
0.250 0.262 0.792 Ir
0.750 0.244 0.435 Ir
0.250 0.756 0.565 Ir
0.750 0.738 0.208 Ir
0.750 0.088 0.932 Ir
0.250 0.912 0.068 Ir

InTeAuN2, optimized geometry, DFT PBE; energy above the lowest structure with this stoichiometry = 93 meV per atom; SG = P4/mmm (123); formation energy without anion corrections = 722 kJ/mol of formula units
1.0
4.241 0.000 0.000
0.000 4.241 0.000
0.000 0.000 5.987
N In Te Au
2 1 1 1
direct
0.500 0.000 0.000 N
0.000 0.500 0.000 N
0.500 0.500 0.500 In
0.000 0.000 0.500 Te
0.000 0.000 0.000 Au